[1]
Here is an optimized crystal structure of Mg2ZrAl from the Alexandria database. Energies are from PBE-GGA.

The structure in extended XYZ format:
```
4
Lattice="5.7035 -1.6761 0.0000 5.7035 1.6761 0.0000 -1.9821 0.0000 4.3534" Properties=species:S:1:pos:R:3 pbc="T T T"
Mg 2.2357 0.0000 1.0332
Mg 7.1893 0.0000 3.3203
Zr -0.9910 0.0000 2.1767
Al 5.7035 0.0000 0.0000
```

Space group ... C2/m, No. 12
Formation energy from the elements ... -0.07 eV per atom


[2]
Here is an optimized crystal structure of ScCdHg4 from the Alexandria database. Energies are from PBE-GGA.

The structure in extended XYZ format:
```
6
Lattice="0.0000 4.1741 4.1741 4.1741 0.0000 4.1741 4.1741 4.1741 0.0000" Properties=species:S:1:pos:R:3 pbc="T T T"
Sc 0.0000 0.0000 0.0000
Cd 6.2612 6.2612 6.2612
Hg 3.1285 3.1285 3.1285
Hg 5.2198 5.2198 3.1285
Hg 5.2198 3.1285 5.2198
Hg 3.1285 5.2198 5.2198
```

Space group ... F-43m, No. 216
Formation energy from the elements ... 0.12 eV per atom


[3]
Here is an optimized crystal structure of ReAg2 from the Alexandria database. Energies are from PBE-GGA.

The structure in extended XYZ format:
```
3
Lattice="-1.3336 2.1727 4.3511 1.3336 -2.1727 4.3511 1.3336 2.1727 -4.3511" Properties=species:S:1:pos:R:3 pbc="T T T"
Re 0.0000 0.0000 0.0000
Ag 0.0000 0.0000 2.9241
Ag 0.0000 0.0000 5.7781
```

Space group ... Immm, No. 71
Formation energy from the elements ... 0.86 eV per atom


[4]
Here is an optimized crystal structure of LaPbAuI2 from the Alexandria database. Energies are from PBE-GGA.

The structure in extended XYZ format:
```
5
Lattice="5.9961 0.0000 0.0000 0.0000 5.9961 0.0000 0.0000 0.0000 6.4855" Properties=species:S:1:pos:R:3 pbc="T T T"
La 0.0000 0.0000 0.0000
Pb 0.0000 0.0000 3.2428
Au 2.9981 2.9981 0.0000
I 0.0000 2.9981 3.2428
I 2.9981 0.0000 3.2428
```

Formation energy without anion corrections ... 138.6 meV/atom
Space group ... P4/mmm, No. 123


Number 1: magnetization 0.0 μB/cell, E_tot -3.941 eV/atom. Number 2: magnetization 0.0 μB/cell, E_tot -1.291 eV/atom. Number 3: magnetization 1.3 μB/cell, E_tot -5.191 eV/atom. Number 4: magnetization 0.0 μB/cell, E_tot -2.864 eV/atom.